Entry 1:
VASP calculation (PBE-GGA) on ScHC2Se after structural relaxation.

Cell and atoms, written as POSCAR:
```
ScHC2Se
1.0
-3.600 -1.158 -0.710
1.639 -2.591 -4.084
0.566 -3.107 2.198
Sc H C Se
1 1 2 1
direct
0.000 0.500 0.000
0.500 0.500 0.500
0.000 0.000 0.500
0.500 0.000 0.000
0.000 0.000 0.000
```

symmetry = P4/mmm (123)
theoretical density = 3271 kg/m³
raw total energy = -4.413 eV per atom

Entry 2:
VASP calculation (PBE-GGA) on Sr2CaI after structural relaxation.

Cell and atoms, written as POSCAR:
```
Sr2CaI
1.0
3.986 -5.036 0.670
-2.172 -5.995 -1.021
1.942 -3.295 -5.203
I Sr Ca
1 2 1
direct
0.500 0.500 0.500
0.250 0.250 0.250
0.750 0.750 0.750
0.000 0.000 0.000
```

symmetry = Fm-3m (225)
theoretical density = 2985 kg/m³
raw total energy = -1.942 eV per atom
E above lowest polymorph = 0.352 eV per atom
formation energy without anion corrections = -213 meV/atom

Entry 3:
VASP calculation (PBE-GGA) on CoSbOs2 after structural relaxation.

Cell and atoms, written as POSCAR:
```
CoSbOs2
1.0
0.000 3.105 3.105
3.105 0.000 3.105
3.105 3.105 0.000
Sb Os Co
1 2 1
direct
0.500 0.500 0.500
0.250 0.250 0.250
0.750 0.750 0.750
0.000 0.000 0.000
```

symmetry = Fm-3m (225)
theoretical density = 15558 kg/m³
raw total energy = -7.903 eV per atom
E above lowest polymorph = 0.075 eV per atom
formation energy without anion corrections = 519 meV/atom

Entry 4:
VASP calculation (PBE-GGA) on SrNd2Hg after structural relaxation.

Cell and atoms, written as POSCAR:
```
SrNd2Hg
1.0
3.882 0.000 0.000
1.941 3.362 0.000
1.941 1.121 11.311
Sr Nd Hg
1 2 1
direct
0.500 0.500 0.501
0.069 0.069 0.793
0.265 0.265 0.206
0.667 0.667 0.000
```

symmetry = R3m (160)
theoretical density = 6488 kg/m³
raw total energy = -2.943 eV per atom
E above lowest polymorph = 0.066 eV per atom
energy of formation from the pure elements = -0.252 eV/f.u.

Entry 5:
VASP calculation (PBE-GGA) on NpZnRu after structural relaxation.

Cell and atoms, written as POSCAR:
```
NpZnRu
1.0
4.830 -1.119 -2.354
-3.555 5.582 1.949
-2.367 2.474 5.992
Np Zn Ru
2 2 2
direct
0.388 0.665 0.616
0.884 0.627 0.653
0.426 0.279 0.264
0.921 0.270 0.268
0.100 0.091 0.840
0.608 0.857 0.075
```

symmetry = P1 (1)
theoretical density = 12274 kg/m³
raw total energy = -7.685 eV per atom
energy of formation from the pure elements = 0.435 eV/f.u.

Entry 6:
VASP calculation (PBE-GGA) on Ce2URu3 after structural relaxation.

Cell and atoms, written as POSCAR:
```
Ce2URu3
1.0
4.799 -0.085 2.113
1.345 4.608 2.113
-0.116 -0.085 5.243
Ce U Ru
2 1 3
direct
0.381 0.381 0.381
0.619 0.619 0.619
0.000 0.000 0.000
0.000 0.000 0.500
0.500 0.000 0.000
0.000 0.500 0.000
```

symmetry = R-3m (166)
theoretical density = 11529 kg/m³
raw total energy = -8.936 eV per atom
E above lowest polymorph = 0.000 eV per atom
energy of formation from the pure elements = -2.634 eV/f.u.

Entry 7:
VASP calculation (PBE-GGA) on V6CrW12 after structural relaxation.

Cell and atoms, written as POSCAR:
```
V6CrW12
1.0
-2.887 -3.936 5.311
6.967 1.060 1.539
-3.278 6.425 -0.054
V Cr W
6 1 12
direct
0.586 0.776 0.314
0.686 0.414 0.224
0.224 0.686 0.414
0.414 0.224 0.686
0.314 0.586 0.776
0.776 0.314 0.586
0.000 0.000 0.000
0.892 0.705 0.612
0.612 0.892 0.705
0.705 0.612 0.892
0.108 0.295 0.388
0.388 0.108 0.295
0.295 0.388 0.108
0.993 0.864 0.319
0.136 0.681 0.007
0.681 0.007 0.136
0.007 0.136 0.681
0.864 0.319 0.993
0.319 0.993 0.864
```

symmetry = R-3 (148)
theoretical density = 14036 kg/m³
raw total energy = -11.120 eV per atom
energy of formation from the pure elements = 8.498 eV/f.u.

Entry 8:
VASP calculation (PBE-GGA) on Cu3NiPt4 after structural relaxation.

Cell and atoms, written as POSCAR:
```
Cu3NiPt4
1.0
0.643 -3.757 0.778
3.415 0.920 1.621
-5.304 2.198 5.275
Ni Pt Cu
1 4 3
direct
0.500 0.000 0.000
0.376 0.376 0.753
0.624 0.624 0.247
0.124 0.124 0.247
0.876 0.876 0.753
0.000 0.500 0.000
0.750 0.250 0.499
0.250 0.750 0.501
```

symmetry = I4/mmm (139)
theoretical density = 15481 kg/m³
raw total energy = -5.400 eV per atom
E above lowest polymorph = 0.000 eV per atom
energy of formation from the pure elements = -0.969 eV/f.u.

Entry 9:
VASP calculation (PBE-GGA) on Sc2TaRh after structural relaxation.

Cell and atoms, written as POSCAR:
```
Sc2TaRh
1.0
-0.825 7.442 -0.666
-2.963 0.290 6.903
0.678 4.249 4.206
Sc Rh Ta
4 2 2
direct
0.582 0.125 0.250
0.168 0.625 0.250
0.375 0.418 0.750
0.875 0.832 0.750
0.500 0.500 0.000
0.250 0.750 0.500
0.000 0.000 0.000
0.750 0.250 0.500
```

symmetry = I-42d (122)
theoretical density = 7791 kg/m³
raw total energy = -7.879 eV per atom
E above lowest polymorph = 0.452 eV per atom
energy of formation from the pure elements = 0.351 eV/f.u.

Entry 10:
VASP calculation (PBE-GGA) on BeTlCl2 after structural relaxation.

Cell and atoms, written as POSCAR:
```
BeTlCl2
1.0
5.707 -0.229 0.102
1.434 5.529 -0.102
-2.466 -4.138 3.070
Be Tl Cl
1 1 2
direct
0.217 0.717 0.500
0.458 0.458 0.000
0.086 0.086 0.000
0.739 0.239 0.500
```

symmetry = Imm2 (44)
theoretical density = 4907 kg/m³
raw total energy = -2.817 eV per atom
E above lowest polymorph = 0.396 eV per atom
formation energy without anion corrections = -371 meV/atom

Entry 11:
VASP calculation (PBE-GGA) on Pm2MgInN after structural relaxation.

Cell and atoms, written as POSCAR:
```
Pm2MgInN
1.0
4.403 0.000 0.000
0.000 5.038 0.000
0.000 0.000 5.038
Pm Mg In N
2 1 1 1
direct
0.000 0.000 0.500
0.000 0.500 0.000
0.500 0.000 0.000
0.500 0.500 0.500
0.000 0.000 0.000
```

symmetry = P4/mmm (123)
theoretical density = 6585 kg/m³
raw total energy = -5.193 eV per atom
formation energy without anion corrections = -761 meV/atom

Entry 12:
VASP calculation (PBE-GGA) on Pr6TeAs3S2 after structural relaxation.

Cell and atoms, written as POSCAR:
```
Pr6TeAs3S2
1.0
-4.041 0.338 -1.375
-2.164 -6.888 4.669
0.616 6.955 6.569
Pr Te As S
6 1 3 2
direct
0.326 0.912 0.651
0.667 0.583 0.335
0.674 0.088 0.349
0.002 0.269 0.004
0.998 0.731 0.996
0.333 0.417 0.665
0.500 0.000 0.000
0.500 0.500 0.000
0.836 0.168 0.672
0.164 0.832 0.328
0.831 0.665 0.663
0.169 0.335 0.337
```

symmetry = C2/m (12)
theoretical density = 6260 kg/m³
raw total energy = -6.183 eV per atom
formation energy without anion corrections = -1681 meV/atom

Entry 13:
VASP calculation (PBE-GGA) on Y2ZnCd2 after structural relaxation.

Cell and atoms, written as POSCAR:
```
Y2ZnCd2
1.0
7.411 0.000 0.000
0.000 7.411 0.000
0.000 0.000 4.576
Y Zn Cd
4 2 4
direct
0.169 0.669 0.500
0.669 0.831 0.500
0.831 0.331 0.500
0.331 0.169 0.500
0.000 0.000 0.000
0.500 0.500 0.000
0.364 0.864 0.000
0.864 0.636 0.000
0.636 0.136 0.000
0.136 0.364 0.000
```

symmetry = P4/mbm (127)
theoretical density = 6184 kg/m³
raw total energy = -3.424 eV per atom
E above lowest polymorph = 0.005 eV per atom
energy of formation from the pure elements = -1.088 eV/f.u.

Entry 14:
VASP calculation (PBE-GGA) on CeGaP after structural relaxation.

Cell and atoms, written as POSCAR:
```
CeGaP
1.0
-2.784 -2.404 1.508
3.005 -2.356 1.791
-1.666 3.252 2.107
P Ga Ce
1 1 1
direct
0.501 0.333 0.667
0.499 0.667 0.333
0.000 0.000 0.000
```

symmetry = P-6m2 (187)
theoretical density = 6527 kg/m³
raw total energy = -5.531 eV per atom
E above lowest polymorph = 0.000 eV per atom
energy of formation from the pure elements = -2.221 eV/f.u.

Entry 15:
VASP calculation (PBE-GGA) on Nd2TmGa2Cu2 after structural relaxation.

Cell and atoms, written as POSCAR:
```
Nd2TmGa2Cu2
1.0
-2.526 -2.255 2.783
1.312 -0.626 4.135
-4.705 7.032 4.880
Nd Tm Ga Cu
2 1 2 2
direct
0.122 0.122 0.634
0.878 0.878 0.366
0.000 0.000 0.000
0.728 0.728 0.815
0.272 0.272 0.185
0.612 0.612 0.164
0.388 0.388 0.836
```

symmetry = R-3m (166)
theoretical density = 7659 kg/m³
raw total energy = -4.428 eV per atom
energy of formation from the pure elements = -2.743 eV/f.u.

Entry 16:
VASP calculation (PBE-GGA) on Li3Ce4S8 after structural relaxation.

Cell and atoms, written as POSCAR:
```
Li3Ce4S8
1.0
-3.786 -6.737 -2.269
5.572 -0.312 5.687
-4.012 5.678 3.891
Li Ce S
3 4 8
direct
0.500 0.500 0.000
0.500 0.000 0.500
0.500 0.500 0.500
0.500 0.000 0.000
0.000 0.500 0.000
0.000 0.000 0.000
0.000 0.000 0.500
0.479 0.237 0.237
0.000 0.758 0.242
0.003 0.253 0.253
0.500 0.752 0.248
0.500 0.248 0.752
0.997 0.747 0.747
0.000 0.242 0.758
0.521 0.763 0.763
```

symmetry = C2/m (12)
theoretical density = 3889 kg/m³
raw total energy = -5.868 eV per atom
formation energy without anion corrections = -1702 meV/atom

Entry 17:
VASP calculation (PBE-GGA) on YAl2TlPb after structural relaxation.

Cell and atoms, written as POSCAR:
```
YAl2TlPb
1.0
-1.778 1.517 -4.779
-3.774 -4.368 0.018
-3.611 3.130 2.337
Pb Y Tl Al
1 1 1 2
direct
0.000 0.000 0.000
0.500 0.500 0.500
0.000 0.500 0.000
0.000 0.000 0.500
0.500 0.000 0.000
```

symmetry = P4/mmm (123)
theoretical density = 5635 kg/m³
raw total energy = -3.290 eV per atom
energy of formation from the pure elements = 3.575 eV/f.u.

Entry 18:
VASP calculation (PBE-GGA) on Ni3GePb after structural relaxation.

Cell and atoms, written as POSCAR:
```
Ni3GePb
1.0
-4.680 0.879 -0.221
-0.852 -3.872 2.645
0.308 2.637 3.959
Pb Ni Ge
1 3 1
direct
0.000 0.000 0.000
0.000 0.500 0.000
0.000 0.000 0.500
0.500 0.000 0.000
0.500 0.500 0.500
```

symmetry = Pm-3m (221)
theoretical density = 6990 kg/m³
raw total energy = -3.926 eV per atom
E above lowest polymorph = 0.860 eV per atom
energy of formation from the pure elements = 6.040 eV/f.u.

Entry 19:
VASP calculation (PBE-GGA) on Tc2RuCl after structural relaxation.

Cell and atoms, written as POSCAR:
```
Tc2RuCl
1.0
-3.597 1.744 0.322
-1.246 -2.398 -0.927
-0.968 -2.792 4.296
Cl Ru Tc
1 1 2
direct
0.500 0.500 0.250
0.500 0.500 0.750
0.000 0.861 0.009
0.000 0.139 0.491
```

symmetry = P2/m (10)
theoretical density = 9581 kg/m³
raw total energy = -7.400 eV per atom
E above lowest polymorph = 0.282 eV per atom
formation energy without anion corrections = 564 meV/atom

Entry 20:
VASP calculation (PBE-GGA) on YGa2Pd2 after structural relaxation.

Cell and atoms, written as POSCAR:
```
YGa2Pd2
1.0
7.661 0.000 0.000
0.000 7.661 0.000
0.000 0.000 3.016
Y Ga Pd
2 4 4
direct
0.000 0.000 0.000
0.500 0.500 0.000
0.157 0.657 0.500
0.657 0.843 0.500
0.843 0.343 0.500
0.343 0.157 0.500
0.364 0.864 0.000
0.864 0.636 0.000
0.636 0.136 0.000
0.136 0.364 0.000
```

symmetry = P4/mbm (127)
theoretical density = 8279 kg/m³
raw total energy = -5.173 eV per atom
energy of formation from the pure elements = -2.964 eV/f.u.